First-principles (PBE) data for Sm3Tm4Hg after structural relaxation, as listed in Alexandria via LeMat-Bulk.

Summary:
The calculation puts the total energy at -33.2 eV/cell. The energy of formation is -10 kJ/mol of atoms. The space group is P4/mmm, No. 123. The value obtained for the density of states at the Fermi level is 1.15 states/eV per atom. The value obtained for the size of the total moment is 0.000 μB/f.u.

Unit cell a=3.5657 b=3.5657 c=18.9706 alpha=90.00 beta=90.00 gamma=90.00
Fractional positions:
1 Tm 0.0000 0.0000 0.8964
2 Tm 0.0000 0.0000 0.1036
3 Tm 0.0000 0.0000 0.3678
4 Tm 0.0000 0.0000 0.6322
5 Hg 0.5000 0.5000 0.0000
6 Sm 0.5000 0.5000 0.2359
7 Sm 0.5000 0.5000 0.5000
8 Sm 0.5000 0.5000 0.7641